No. 1
Below is a PBEsol-optimized structure of CaSiRh, with properties calculated at the meta-GGA SCAN level.

a b c (Å): 4.3541 4.3541 4.3541
angles (deg): 60.00 60.00 60.00
Closest atoms and distances in Å follow each position.
Positions (direct):
Ca 0.0000 0.0000 0.0000  4 Si 2.67
Si 0.2500 0.2500 0.2500  4 Ca 2.67, 4 Rh 2.67
Rh 0.5000 0.5000 0.5000  4 Si 2.67

Properties
- SG = F-43m, No. 216
- calculated density (g/cm3) = 4.867
- uncorrected formation energy (eV/atom) = -0.143

=====

No. 2
Below is a PBEsol-optimized structure of CaSi3Rh, with properties calculated at the meta-GGA SCAN level.

a b c (Å): 4.6501 4.6501 4.6501
angles (deg): 90.00 90.00 90.00
Closest atoms and distances in Å follow each position.
Positions (direct):
Ca 0.0000 0.0000 0.0000  12 Si 3.29
Si 0.0000 0.5000 0.5000  2 Rh 2.33
Si 0.5000 0.0000 0.5000  2 Rh 2.33
Si 0.5000 0.5000 0.0000  2 Rh 2.33
Rh 0.5000 0.5000 0.5000  6 Si 2.33

Properties
- SG = Pm-3m, No. 221
- calculated density (g/cm3) = 3.753
- uncorrected formation energy (eV/atom) = 0.108

=====

No. 3
Below is a PBEsol-optimized structure of CaSiRh2, with properties calculated at the meta-GGA SCAN level.

a b c (Å): 4.4667 4.4667 4.4667
angles (deg): 60.00 60.00 60.00
Closest atoms and distances in Å follow each position.
Positions (direct):
Ca 0.0000 0.0000 0.0000  4 Rh 2.74, 4 Si 2.74
Si 0.2500 0.2500 0.2500  4 Ca 2.74, 4 Rh 2.74
Rh 0.5000 0.5000 0.5000  4 Rh 2.74, 4 Si 2.74
Rh 0.7500 0.7500 0.7500  4 Ca 2.74, 4 Rh 2.74

Properties
- SG = F-43m, No. 216
- calculated density (g/cm3) = 7.220
- uncorrected formation energy (eV/atom) = -0.024

=====

No. 4
Below is a PBEsol-optimized structure of Ca2SiRh, with properties calculated at the meta-GGA SCAN level.

a b c (Å): 4.5634 4.5634 3.8341
angles (deg): 90.00 90.00 90.00
Closest atoms and distances in Å follow each position.
Positions (direct):
Ca 0.0000 0.5000 0.0000  4 Rh 2.98, 4 Si 2.98, 4 Ca 3.23
Ca 0.5000 0.0000 0.0000  4 Rh 2.98, 4 Si 2.98, 4 Ca 3.23
Si 0.0000 0.0000 0.5000  8 Ca 2.98, 4 Rh 3.23
Rh 0.5000 0.5000 0.5000  8 Ca 2.98, 4 Si 3.23

Properties
- SG = P4/mmm, No. 123
- calculated density (g/cm3) = 4.391
- uncorrected formation energy (eV/atom) = -0.272

=====

No. 5
Below is a PBEsol-optimized structure of CaSi2Rh2, with properties calculated at the meta-GGA SCAN level.

a b c (Å): 5.7272 5.7272 5.7272
angles (deg): 138.61 138.61 59.97
Closest atoms and distances in Å follow each position.
Positions (direct):
Ca 0.0000 0.0000 0.0000  8 Si 3.12, 8 Rh 3.20
Si 0.3739 0.3739 0.0000  4 Rh 2.37, 1 Si 2.50
Si 0.6261 0.6261 0.0000  4 Rh 2.37, 1 Si 2.50
Rh 0.2500 0.7500 0.5000  4 Si 2.37
Rh 0.7500 0.2500 0.5000  4 Si 2.37

Properties
- SG = I4/mmm, No. 139
- calculated density (g/cm3) = 6.170
- uncorrected formation energy (eV/atom) = -1.085

=====

No. 6
Below is a PBEsol-optimized structure of Ca2SiRh, with properties calculated at the meta-GGA SCAN level.

a b c (Å): 4.0526 5.6201 5.6201
angles (deg): 46.76 90.00 90.00
Closest atoms and distances in Å follow each position.
Positions (direct):
Ca 0.0000 0.0000 0.0000  3 Rh 3.03-3.11, 4 Si 3.16
Ca 0.5000 0.2881 0.2881  3 Si 3.01-3.13, 4 Rh 3.15
Si 0.5000 0.5916 0.5916  2 Rh 2.31
Rh 0.0000 0.6984 0.6984  2 Si 2.31

Properties
- SG = Amm2, No. 38
- calculated density (g/cm3) = 3.760
- uncorrected formation energy (eV/atom) = -0.638